The following is a PBE calculation of crystalline CaCu3Ge4O12 at its relaxed geometry, from the Alexandria database.

Values from the calculation:
- Raw formation energy: -32.3 kcal/mol of atoms
- Total DFT energy (no corrections): -6.01 eV per atom
- Calculated density: 6.0 g/cm3

Unit cell a=7.3234 b=7.3234 c=7.3234 alpha=90.00 beta=90.00 gamma=90.00
Space group Im-3 (No. 204)
Inequivalent atoms, fractional coordinates:
Ca1 0.0000 0.0000 0.0000 (multiplicity 2)
Cu1 0.0000 0.0000 0.5000 (multiplicity 6)
Ge1 0.2500 0.2500 0.2500 (multiplicity 8)
O1 0.0000 0.1830 0.3007 (multiplicity 24)